Record 1
{"formula": "BaPrO3", "functional": "PBE", "state": "optimized geometry", "volume_a3_per_atom": 18.87, "dft_energy_ev_per_atom": -6.80, "sg": "P4mm, No. 99", "lattice_angstrom": [[4.507, 0.000, 0.000], [0.000, 4.507, 0.000], [0.000, 0.000, 4.646]], "species": ["Ba", "Pr", "O", "O", "O"], "frac_coords": [[0.000, 0.000, 0.000], [0.500, 0.500, 0.558], [0.000, 0.500, 0.640], [0.500, 0.000, 0.640], [0.500, 0.500, 0.071]]}

=====

Record 2
{"formula": "Al2HgSeS3", "functional": "PBE", "state": "optimized geometry", "volume_a3_per_atom": 24.00, "dft_energy_ev_per_atom": -4.17, "sg": "P1, No. 1", "lattice_angstrom": [[5.648, 0.000, 0.000], [-0.091, 5.705, 0.000], [-2.742, -2.762, 5.214]], "species": ["Al", "Al", "Hg", "Se", "S", "S", "S"], "frac_coords": [[0.000, 0.000, 0.000], [0.256, 0.767, 0.511], [0.759, 0.258, 0.504], [0.350, 0.397, 0.220], [0.156, 0.677, 0.777], [0.626, 0.111, 0.777], [0.902, 0.859, 0.241]]}

=====

Record 3
{"formula": "Ba2AgSn", "functional": "PBE", "state": "optimized geometry", "volume_a3_per_atom": 32.74, "dft_energy_ev_per_atom": -2.86, "sg": "F-43m, No. 216", "lattice_angstrom": [[0.000, 4.031, 4.031], [4.031, 0.000, 4.031], [4.031, 4.031, 0.000]], "species": ["Ba", "Ba", "Ag", "Sn"], "frac_coords": [[0.000, 0.000, 0.000], [0.250, 0.250, 0.250], [0.750, 0.750, 0.750], [0.500, 0.500, 0.500]]}

=====

Record 4
{"formula": "SmTlRe", "functional": "PBE", "state": "optimized geometry", "volume_a3_per_atom": 25.85, "sg": "F-43m, No. 216", "relative_energy_ev_per_fu": 0.00, "lattice_angstrom": [[0.000, 3.385, 3.385], [3.385, 0.000, 3.385], [3.385, 3.385, 0.000]], "species": ["Sm", "Tl", "Re"], "frac_coords": [[0.000, 0.000, 0.000], [0.750, 0.750, 0.750], [0.500, 0.500, 0.500]]}

=====

Record 5
{"formula": "GeAsPdO", "functional": "PBE", "state": "optimized geometry", "volume_a3_per_atom": 18.07, "sg": "Pmc2_1, No. 26", "relative_energy_ev_per_fu": 0.30, "lattice_angstrom": [[3.984, 0.000, 0.000], [0.000, 7.094, 0.000], [0.000, 0.000, 5.115]], "species": ["Ge", "Ge", "As", "As", "Pd", "Pd", "O", "O"], "frac_coords": [[0.000, 0.158, 0.000], [0.000, 0.842, 0.500], [0.500, 0.348, 0.875], [0.500, 0.652, 0.375], [0.500, 0.309, 0.390], [0.500, 0.691, 0.890], [0.000, 0.076, 0.344], [0.000, 0.924, 0.844]]}

=====

Record 6
{"formula": "NaErB4", "functional": "PBE", "state": "optimized geometry", "volume_a3_per_atom": 11.71, "sg": "P6/mmm, No. 191", "relative_energy_ev_per_fu": 0.08, "lattice_angstrom": [[3.183, 0.000, 0.000], [-1.592, 2.757, 0.000], [0.000, 0.000, 8.008]], "species": ["Na", "Er", "B", "B", "B", "B"], "frac_coords": [[0.000, 0.000, 0.000], [0.000, 0.000, 0.500], [0.333, 0.667, 0.265], [0.333, 0.667, 0.735], [0.667, 0.333, 0.265], [0.667, 0.333, 0.735]]}

=====

Record 7
{"formula": "ZnSnPO", "functional": "PBE", "state": "optimized geometry", "volume_a3_per_atom": 18.79, "sg": "Pmc2_1, No. 26", "relative_energy_ev_per_fu": 0.41, "lattice_angstrom": [[3.725, 0.000, 0.000], [0.000, 6.257, 0.000], [0.000, 0.000, 6.452]], "species": ["Zn", "Zn", "Sn", "Sn", "P", "P", "O", "O"], "frac_coords": [[0.000, 0.207, 0.000], [0.000, 0.793, 0.500], [0.500, 0.336, 0.553], [0.500, 0.664, 0.053], [0.000, 0.143, 0.362], [0.000, 0.857, 0.862], [0.500, 0.354, 0.909], [0.500, 0.646, 0.409]]}

=====

Record 8
{"formula": "Pr2Zn2SbAsO2", "functional": "PBE", "state": "optimized geometry", "volume_a3_per_atom": 19.84, "dft_energy_ev_per_atom": -5.55, "sg": "P4mm, No. 99", "lattice_angstrom": [[4.133, 0.000, 0.000], [0.000, 4.133, 0.000], [0.000, 0.000, 9.294]], "species": ["Pr", "Pr", "Zn", "Zn", "Sb", "As", "O", "O"], "frac_coords": [[0.000, 0.000, 0.000], [0.500, 0.500, 0.253], [0.000, 0.500, 0.604], [0.500, 0.000, 0.604], [0.500, 0.500, 0.795], [0.000, 0.000, 0.436], [0.000, 0.500, 0.126], [0.500, 0.000, 0.126]]}